A plane-wave DFT calculation with GGA-PBE was carried out for crystalline CrBrCl at its relaxed geometry.

It has space group F-43m (No. 216), with a = 6.502 Å, b = 6.502 Å, c = 6.502 Å, α = 90.00°, β = 90.00° and γ = 90.00°. The asymmetric unit holds Cr at (0.000, 0.000, 0.000), Br at (0.250, 0.250, 0.250) and Cl at (0.250, 0.250, 0.750).

The calculation puts the uncorrected formation energy at -0.369 eV per atom. The excess energy over the best structure of this formula in the dataset comes out at 406 meV/atom. The size of the total moment comes out at 16.000 μB per cell.

---

A plane-wave DFT calculation with GGA-PBE was carried out for crystalline CrBrCl2 at its relaxed geometry.

It has space group R-3m (No. 166, hexagonal axes), with a = 3.5104 Å, b = 3.5104 Å, c = 27.9590 Å, α = 90.00°, β = 90.00° and γ = 120.00°. The asymmetric unit holds Cr at (0.0000, 0.0000, 0.0000), Br at (0.0000, 0.0000, 0.5000) and Cl at (0.0000, 0.0000, 0.2835).

The calculation puts the uncorrected formation energy at -0.519 eV per atom. The excess energy over the best structure of this formula in the dataset comes out at 366 meV/atom. The size of the total moment comes out at 12.071 μB per cell.